Density functional theory data (PBE) for an optimized crystal structure of Hg2BPd.

abc: 6.8683 6.8683 6.8683
angles: 95.50 95.50 143.93
Atoms (fractional coordinates):
Hg 0.0000 0.0000 0.0000
Hg 0.0000 0.0000 0.5000
Hg 0.0000 0.5000 0.0000
Hg 0.5000 0.0000 0.5000
B 0.1250 0.8750 0.2500
B 0.8750 0.1250 0.7500
Pd 0.3750 0.6250 0.7500
Pd 0.6250 0.3750 0.2500

Output
calculated density	9.49	Mg/m³
spin magnetization	0.000	μB per cell
ΔE_f	0.3778	eV per atom
symmetry	I4_1/amd, No. 141
volume	181.4	Å³ per cell

***

Density functional theory data (PBE) for an optimized crystal structure of HgBPdPt2.

abc: 4.2057 4.2057 4.3721
angles: 90.00 90.00 90.00
Atoms (fractional coordinates):
Hg 0.0000 0.0000 0.0000
B 0.5000 0.5000 0.5000
Pd 0.5000 0.5000 0.0000
Pt 0.0000 0.5000 0.5000
Pt 0.5000 0.0000 0.5000

Output
calculated density	15.20	Mg/m³
spin magnetization	0.000	μB per cell
ΔE_f	-0.1364	eV per atom
symmetry	P4/mmm, No. 123
volume	77.3	Å³ per cell

***

Density functional theory data (PBE) for an optimized crystal structure of HgBPd2Pt.

abc: 4.2802 4.2802 4.1864
angles: 90.00 90.00 90.00
Atoms (fractional coordinates):
Hg 0.0000 0.0000 0.0000
B 0.5000 0.5000 0.5000
Pd 0.0000 0.5000 0.5000
Pd 0.5000 0.0000 0.5000
Pt 0.5000 0.5000 0.0000

Output
calculated density	13.41	Mg/m³
spin magnetization	0.000	μB per cell
ΔE_f	-0.1756	eV per atom
symmetry	P4/mmm, No. 123
volume	76.7	Å³ per cell

***

Density functional theory data (PBE) for an optimized crystal structure of Hg2BPd2Pt4.

abc: 5.9202 5.9202 5.9202
angles: 121.49 121.49 87.44
Atoms (fractional coordinates):
Hg 0.2500 0.7500 0.5000
Hg 0.7500 0.2500 0.5000
B 0.0000 0.0000 0.0000
Pd 0.2539 0.2539 0.0000
Pd 0.7461 0.7461 0.0000
Pt 0.2569 0.2569 0.5139
Pt 0.2569 0.7431 0.0000
Pt 0.7431 0.2569 0.0000
Pt 0.7431 0.7431 0.4861

Output
calculated density	16.29	Mg/m³
spin magnetization	0.000	μB per cell
ΔE_f	-0.1978	eV per atom
symmetry	I4/mmm, No. 139
volume	143.3	Å³ per cell

***

Density functional theory data (PBE) for an optimized crystal structure of HgBPd2Rh.

abc: 4.2363 4.2363 4.1554
angles: 90.00 90.00 90.00
Atoms (fractional coordinates):
Hg 0.0000 0.0000 0.0000
B 0.5000 0.5000 0.5000
Pd 0.0000 0.5000 0.5000
Pd 0.5000 0.0000 0.5000
Rh 0.5000 0.5000 0.0000

Output
calculated density	11.74	Mg/m³
spin magnetization	0.000	μB per cell
ΔE_f	-0.1965	eV per atom
symmetry	P4/mmm, No. 123
volume	74.6	Å³ per cell

***

Density functional theory data (PBE) for an optimized crystal structure of HgBPd2Se.

abc: 5.1480 5.1480 5.0489
angles: 90.00 90.00 90.00
Atoms (fractional coordinates):
Hg 0.0000 0.0000 0.0000
B 0.5000 0.5000 0.5000
Pd 0.0000 0.5000 0.0000
Pd 0.5000 0.0000 0.0000
Se 0.0000 0.0000 0.5000

Output
calculated density	6.24	Mg/m³
spin magnetization	0.000	μB per cell
symmetry	P4/mmm, No. 123
volume	133.8	Å³ per cell
uncorrected formation energy	160	kJ/mol of atoms

***

Density functional theory data (PBE) for an optimized crystal structure of ZrHg2BPd.

abc: 5.1032 5.1032 5.0008
angles: 90.00 90.00 90.00
Atoms (fractional coordinates):
Zr 0.0000 0.0000 0.0000
Hg 0.0000 0.5000 0.5000
Hg 0.5000 0.0000 0.5000
B 0.5000 0.5000 0.0000
Pd 0.0000 0.0000 0.5000

Output
calculated density	7.77	Mg/m³
spin magnetization	0.000	μB per cell
ΔE_f	1.1625	eV per atom
symmetry	P4/mmm, No. 123
volume	130.2	Å³ per cell

***

Density functional theory data (PBE) for an optimized crystal structure of Pm4Hg2B.

abc: 8.5226 8.5226 8.5226
angles: 145.01 145.01 50.31
Atoms (fractional coordinates):
Pm 0.0000 0.5000 0.5000
Pm 0.1741 0.1741 0.0000
Pm 0.5000 0.0000 0.5000
Pm 0.8259 0.8259 0.0000
Hg 0.3712 0.3712 0.0000
Hg 0.6288 0.6288 0.0000
B 0.0000 0.0000 0.0000

Output
calculated density	8.13	Mg/m³
spin magnetization	0.000	μB per cell
ΔE_f	-0.1679	eV per atom
symmetry	I4/mmm, No. 139
volume	202.5	Å³ per cell

***

Density functional theory data (PBE) for an optimized crystal structure of Pm2Hg2BRh4.

abc: 6.1771 6.1771 6.1771
angles: 120.32 120.32 89.44
Atoms (fractional coordinates):
Pm 0.2064 0.2064 0.0000
Pm 0.7936 0.7936 0.0000
Hg 0.2500 0.7500 0.5000
Hg 0.7500 0.2500 0.5000
B 0.5000 0.5000 0.0000
Rh 0.2625 0.2625 0.5251
Rh 0.2625 0.7375 0.0000
Rh 0.7375 0.2625 0.0000
Rh 0.7375 0.7375 0.4749

Output
calculated density	11.15	Mg/m³
spin magnetization	0.000	μB per cell
ΔE_f	-0.3519	eV per atom
symmetry	I4/mmm, No. 139
volume	165.8	Å³ per cell

***

Density functional theory data (PBE) for an optimized crystal structure of Pm3Hg2BRh3.

abc: 7.7562 7.7562 3.5600
angles: 90.00 90.00 120.00
Atoms (fractional coordinates):
Pm 0.0000 0.3531 0.0000
Pm 0.3531 0.0000 0.0000
Pm 0.6469 0.6469 0.0000
Hg 0.3333 0.6667 0.5000
Hg 0.6667 0.3333 0.5000
B 0.0000 0.0000 0.0000
Rh 0.0000 0.7949 0.5000
Rh 0.2051 0.2051 0.5000
Rh 0.7949 0.0000 0.5000

Output
calculated density	10.35	Mg/m³
spin magnetization	0.000	μB per cell
ΔE_f	-0.4767	eV per atom
symmetry	P-62m, No. 189
volume	185.5	Å³ per cell

***

Density functional theory data (PBE) for an optimized crystal structure of Pm3HgB2Rh9.

abc: 5.8720 5.8720 8.9826
angles: 90.00 90.00 120.00
Atoms (fractional coordinates):
Pm 0.0000 0.0000 0.0000
Pm 0.3333 0.6667 0.6732
Pm 0.6667 0.3333 0.3268
Hg 0.0000 0.0000 0.5000
B 0.3333 0.6667 0.1426
B 0.6667 0.3333 0.8574
Rh 0.0000 0.5000 0.0000
Rh 0.1641 0.3283 0.2646
Rh 0.1641 0.8359 0.2646
Rh 0.3283 0.1641 0.7354
Rh 0.5000 0.0000 0.0000
Rh 0.5000 0.5000 0.0000
Rh 0.6717 0.8359 0.2646
Rh 0.8359 0.1641 0.7354
Rh 0.8359 0.6717 0.7354

Output
calculated density	9.80	Mg/m³
spin magnetization	0.001	μB per cell
ΔE_f	-0.4453	eV per atom
symmetry	P-3m1, No. 164
volume	268.2	Å³ per cell

***

Density functional theory data (PBE) for an optimized crystal structure of Pm3Hg2BRu3.

abc: 7.7717 7.7717 3.5335
angles: 90.00 90.00 120.00
Atoms (fractional coordinates):
Pm 0.0000 0.3437 0.0000
Pm 0.3437 0.0000 0.0000
Pm 0.6563 0.6563 0.0000
Hg 0.3333 0.6667 0.5000
Hg 0.6667 0.3333 0.5000
B 0.0000 0.0000 0.0000
Ru 0.0000 0.7940 0.5000
Ru 0.2060 0.2060 0.5000
Ru 0.7940 0.0000 0.5000

Output
calculated density	10.33	Mg/m³
spin magnetization	0.000	μB per cell
ΔE_f	-0.2159	eV per atom
symmetry	P-62m, No. 189
volume	184.8	Å³ per cell

***

Density functional theory data (PBE) for an optimized crystal structure of Pr3HgB2Rh9.

abc: 5.9077 5.9077 8.9578
angles: 90.00 90.00 120.00
Atoms (fractional coordinates):
Pr 0.0000 0.0000 0.0000
Pr 0.3333 0.6667 0.6628
Pr 0.6667 0.3333 0.3372
Hg 0.0000 0.0000 0.5000
B 0.3333 0.6667 0.1421
B 0.6667 0.3333 0.8579
Rh 0.0000 0.5000 0.0000
Rh 0.1656 0.3313 0.2664
Rh 0.1656 0.8344 0.2664
Rh 0.3313 0.1656 0.7336
Rh 0.5000 0.0000 0.0000
Rh 0.5000 0.5000 0.0000
Rh 0.6687 0.8344 0.2664
Rh 0.8344 0.1656 0.7336
Rh 0.8344 0.6687 0.7336

Output
calculated density	9.64	Mg/m³
spin magnetization	0.000	μB per cell
ΔE_f	-0.4220	eV per atom
symmetry	P-3m1, No. 164
volume	270.8	Å³ per cell

***

Density functional theory data (PBE) for an optimized crystal structure of Pr3Hg2BRh3.

abc: 7.8693 7.8693 3.5966
angles: 90.00 90.00 120.00
Atoms (fractional coordinates):
Pr 0.0000 0.6474 0.0000
Pr 0.3526 0.3526 0.0000
Pr 0.6474 0.0000 0.0000
Hg 0.3333 0.6667 0.5000
Hg 0.6667 0.3333 0.5000
B 0.0000 0.0000 0.0000
Rh 0.0000 0.2012 0.5000
Rh 0.2012 0.0000 0.5000
Rh 0.7988 0.7988 0.5000

Output
calculated density	9.84	Mg/m³
spin magnetization	0.000	μB per cell
ΔE_f	-0.4183	eV per atom
symmetry	P-62m, No. 189
volume	192.9	Å³ per cell

***

Density functional theory data (PBE) for an optimized crystal structure of Pr3Hg2BRu3.

abc: 7.8828 7.8828 3.5710
angles: 90.00 90.00 120.00
Atoms (fractional coordinates):
Pr 0.0000 0.6562 0.0000
Pr 0.3438 0.3438 0.0000
Pr 0.6562 0.0000 0.0000
Hg 0.3333 0.6667 0.5000
Hg 0.6667 0.3333 0.5000
B 0.0000 0.0000 0.0000
Ru 0.0000 0.2020 0.5000
Ru 0.2020 0.0000 0.5000
Ru 0.7980 0.7980 0.5000

Output
calculated density	9.83	Mg/m³
spin magnetization	0.001	μB per cell
ΔE_f	-0.1526	eV per atom
symmetry	P-62m, No. 189
volume	192.2	Å³ per cell

***

Density functional theory data (PBE) for an optimized crystal structure of HgBPt3.

abc: 10.6794 10.6794 10.6794
angles: 154.28 154.28 36.69
Atoms (fractional coordinates):
Hg 0.0000 0.0000 0.0000
Hg 0.7500 0.2500 0.5000
B 0.1307 0.6307 0.5000
B 0.3693 0.8693 0.5000
Pt 0.3666 0.3666 0.0000
Pt 0.3726 0.1264 0.2462
Pt 0.6334 0.6334 0.0000
Pt 0.8736 0.1198 0.2462
Pt 0.8736 0.6274 0.7538
Pt 0.8802 0.1264 0.7538

Output
calculated density	11.55	Mg/m³
spin magnetization	0.000	μB per cell
ΔE_f	0.6795	eV per atom
symmetry	I-4m2, No. 119
volume	229.0	Å³ per cell
energy relative to the lowest polymorph listed for this composition	889	meV/atom

***

Density functional theory data (PBE) for an optimized crystal structure of HgBPt3.

abc: 4.0316 4.0316 4.8257
angles: 90.00 90.00 90.00
Atoms (fractional coordinates):
Hg 0.0000 0.0000 0.0000
B 0.5000 0.5000 0.3499
Pt 0.0000 0.5000 0.4982
Pt 0.5000 0.0000 0.4982
Pt 0.5000 0.5000 0.9276

Output
calculated density	16.87	Mg/m³
spin magnetization	0.000	μB per cell
ΔE_f	-0.0815	eV per atom
symmetry	P4mm, No. 99
volume	78.4	Å³ per cell
energy relative to the lowest polymorph listed for this composition	128	meV/atom

***

Density functional theory data (PBE) for an optimized crystal structure of HgBPt3.

abc: 6.7778 8.3244 5.9441
angles: 90.00 100.97 90.00
Atoms (fractional coordinates):
Hg 0.1735 0.2289 0.0343
Hg 0.1735 0.2711 0.5343
Hg 0.8265 0.7289 0.4657
Hg 0.8265 0.7711 0.9657
B 0.3332 0.6868 0.4055
B 0.3332 0.8132 0.9055
B 0.6668 0.1868 0.0945
B 0.6668 0.3132 0.5945
Pt 0.1001 0.5446 0.2186
Pt 0.1001 0.9554 0.7186
Pt 0.2404 0.6027 0.7012
Pt 0.2404 0.8973 0.2012
Pt 0.4828 0.6365 0.1369
Pt 0.4828 0.8635 0.6369
Pt 0.5172 0.1365 0.3631
Pt 0.5172 0.3635 0.8631
Pt 0.7596 0.1027 0.7988
Pt 0.7596 0.3973 0.2988
Pt 0.8999 0.0446 0.2814
Pt 0.8999 0.4554 0.7814

Output
calculated density	16.07	Mg/m³
spin magnetization	0.000	μB per cell
ΔE_f	-0.1022	eV per atom
symmetry	P2_1/c, No. 14
volume	329.2	Å³ per cell
energy relative to the lowest polymorph listed for this composition	107	meV/atom

***

Density functional theory data (PBE) for an optimized crystal structure of Hg2BPt6.

abc: 5.8837 5.8837 5.8837
angles: 60.00 60.00 60.00
Atoms (fractional coordinates):
Hg 0.2500 0.2500 0.2500
Hg 0.7500 0.7500 0.7500
B 0.0000 0.0000 0.0000
Pt 0.2565 0.2565 0.7435
Pt 0.2565 0.7435 0.2565
Pt 0.2565 0.7435 0.7435
Pt 0.7435 0.2565 0.2565
Pt 0.7435 0.2565 0.7435
Pt 0.7435 0.7435 0.2565

Output
calculated density	18.25	Mg/m³
spin magnetization	0.000	μB per cell
ΔE_f	-0.1337	eV per atom
symmetry	Fm-3m, No. 225
volume	144.0	Å³ per cell

***

Density functional theory data (PBE) for an optimized crystal structure of Hg3BPt.

abc: 5.2768 5.2768 5.2768
angles: 90.00 90.00 90.00
Atoms (fractional coordinates):
Hg 0.0000 0.0000 0.5000
Hg 0.0000 0.5000 0.0000
Hg 0.5000 0.0000 0.0000
B 0.5000 0.5000 0.5000
Pt 0.0000 0.0000 0.0000

Output
calculated density	9.13	Mg/m³
spin magnetization	0.473	μB per cell
ΔE_f	1.0648	eV per atom
symmetry	Pm-3m, No. 221
volume	146.9	Å³ per cell
energy relative to the lowest polymorph listed for this composition	335	meV/atom